Model 1:
Density functional theory data (PBE) for VW2I after structural relaxation.

Geometry as POSCAR:
```
VW2I
1.0
-3.8166 -2.1972 1.2362
-3.5509 -0.2110 -2.8756
-1.0998 -3.9697 -1.9885
V I W
1 1 2
Cartesian
0.0000 0.0000 0.0000
-4.2336 -3.1889 -1.8139
-6.3504 -4.7834 -2.7209
-2.1168 -1.5945 -0.9070
```

Computed properties:
The crystal system is cubic. Its space group is Fm-3m, No. 225. For the size of the total moment, the calculation gives 0.44 μB/cell.

***

Model 2:
Density functional theory data (PBE) for VW2I after structural relaxation.

Geometry as POSCAR:
```
VW2I
1.0
-3.5116 -1.2956 -0.6817
0.2070 -2.1931 3.1019
-5.6227 5.9973 6.9485
V W I
2 4 2
Cartesian
-3.5340 1.0299 5.6303
-1.6523 -1.7444 1.2101
-3.5408 0.4279 1.7054
-7.1105 1.4664 7.2993
-5.4542 3.1687 6.1487
-1.7489 -0.0457 3.5841
0.0000 0.0000 0.0000
-5.3932 1.4787 3.7385
```

Computed properties:
The crystal system is tetragonal. Its space group is I-42d, No. 122. For the size of the total moment, the calculation gives 3.61 μB/cell.

***

Stability, descending: model 1, model 2

***

Model 1:
Density functional theory data (PBE) for YVI2 after structural relaxation.

Geometry as POSCAR:
```
YVI2
1.0
4.8518 -1.8546 0.7632
1.0393 -5.0714 -0.8736
2.9498 -1.4051 -4.1094
V I Y
1 2 1
Cartesian
0.0000 0.0000 0.0000
2.2102 -2.0828 -1.0549
6.6306 -6.2483 -3.1648
4.4204 -4.1655 -2.1099
```

Computed properties:
The crystal system is cubic. Its space group is Fm-3m, No. 225. For the size of the total moment, the calculation gives 3.44 μB/cell.

***

Model 2:
Density functional theory data (PBE) for YVI2 after structural relaxation.

Geometry as POSCAR:
```
YVI2
1.0
-1.9606 3.7746 -3.1180
2.7696 -1.9145 -4.0592
-6.6572 -4.5738 -5.8110
I Y V
4 2 2
Cartesian
-2.5091 0.9102 -3.8543
-4.6410 -2.7664 -7.1208
-4.3335 -1.7693 -10.5672
-0.2127 -1.8021 -4.4341
-4.1066 0.0654 -6.2588
0.0000 0.0000 0.0000
0.4045 0.9300 -3.5886
-1.7415 -2.7791 -6.7294
```

Computed properties:
The crystal system is tetragonal. Its space group is I-42d, No. 122. For the size of the total moment, the calculation gives 8.49 μB/cell.

***

Stability, descending: model 1, model 2

***

Model 1:
Density functional theory data (PBE) for YV3I after structural relaxation.

Geometry as POSCAR:
```
YV3I
1.0
4.8298 0.0000 0.0000
0.0000 4.8298 0.0000
0.0000 0.0000 4.8298
V Y I
3 1 1
Cartesian
2.4149 0.0000 0.0000
0.0000 2.4149 0.0000
0.0000 0.0000 2.4149
2.4149 2.4149 2.4149
0.0000 0.0000 0.0000
```

Computed properties:
The crystal system is cubic. Its space group is Pm-3m, No. 221. For the size of the total moment, the calculation gives 1.44 μB/cell.

***

Model 2:
Density functional theory data (PBE) for YV3I after structural relaxation.

Geometry as POSCAR:
```
YV3I
1.0
5.0484 0.0000 0.0000
0.0000 5.0484 0.0000
0.0000 0.0000 5.0484
V Y I
3 1 1
Cartesian
0.0000 0.0000 2.5242
2.5242 0.0000 0.0000
0.0000 2.5242 0.0000
0.0000 0.0000 0.0000
2.5242 2.5242 2.5242
```

Computed properties:
The crystal system is cubic. Its space group is Pm-3m, No. 221. For the size of the total moment, the calculation gives 7.25 μB/cell.

***

Stability, descending: model 1, model 2